Record 1
VASP calculation (PBE-GGA) on crystalline Ba2Sr6RhAu at its relaxed geometry.

The structure in CIF format:
```
data_Ba2Sr6RhAu
_chemical_formula_sum 'Ba4 Sr12 Rh2 Au2'
_cell_length_a 8.7065
_cell_length_b 8.7065
_cell_length_c 12.3020
_cell_angle_alpha 90.00
_cell_angle_beta 90.00
_cell_angle_gamma 90.00
_symmetry_space_group_name_H-M 'I 4/m m m'
_symmetry_Int_Tables_number 139
_symmetry_space_group_name_Hall '-I 4 2'
loop_
_atom_site_label
_atom_site_type_symbol
_atom_site_fract_x
_atom_site_fract_y
_atom_site_fract_z
_atom_site_occupancy
Ba1 Ba 0.0000 0.5000 0.2500 1
Sr1 Sr 0.0000 0.0000 0.2427 1
Sr2 Sr 0.2426 0.2426 0.0000 1
Rh1 Rh 0.0000 0.0000 0.0000 1
Au1 Au 0.0000 0.0000 0.5000 1
```

Summary:
The formation energy is -0.257 eV/atom. The total energy comes out at -2.714 eV per atom.

---

Record 2
VASP calculation (PBE-GGA) on crystalline Tl5SbS5 at its relaxed geometry.

The structure in CIF format:
```
data_Tl5SbS5
_chemical_formula_sum 'Tl10 Sb2 S10'
_cell_length_a 12.7969
_cell_length_b 6.0042
_cell_length_c 8.3838
_cell_angle_alpha 90.00
_cell_angle_beta 102.69
_cell_angle_gamma 90.00
_symmetry_space_group_name_H-M 'C 1 2/m 1'
_symmetry_Int_Tables_number 12
loop_
_symmetry_equiv_pos_as_xyz
'x,y,z'
'-x,-y,-z'
'-x,y,-z'
'x,-y,z'
'x+1/2,y+1/2,z'
'-x+1/2,-y+1/2,-z'
'-x+1/2,y+1/2,-z'
'x+1/2,-y+1/2,z'
loop_
_atom_site_label
_atom_site_type_symbol
_atom_site_fract_x
_atom_site_fract_y
_atom_site_fract_z
_atom_site_occupancy
Tl1 Tl 0.0000 0.0000 0.0000 1
Tl2 Tl 0.1577 0.5000 0.8599 1
Tl3 Tl 0.1808 0.5000 0.3688 1
Sb1 Sb 0.0000 0.0000 0.5000 1
S1 S 0.0000 0.5000 0.5000 1
S2 S 0.1525 0.0000 0.7851 1
S3 S 0.1629 0.0000 0.3306 1
```

Summary:
The total energy comes out at -3.535 eV per atom.

---

Record 3
VASP calculation (PBE-GGA) on crystalline Er6RuRh5 at its relaxed geometry.

The structure in CIF format:
```
data_Er6RuRh5
_chemical_formula_sum 'Er6 Ru1 Rh5'
_cell_length_a 4.8000
_cell_length_b 6.7457
_cell_length_c 7.5955
_cell_angle_alpha 90.00
_cell_angle_beta 108.32
_cell_angle_gamma 90.00
_symmetry_space_group_name_H-M 'P 1 2/m 1'
_symmetry_Int_Tables_number 10
loop_
_symmetry_equiv_pos_as_xyz
'x,y,z'
'-x,-y,-z'
'-x,y,-z'
'x,-y,z'
loop_
_atom_site_label
_atom_site_type_symbol
_atom_site_fract_x
_atom_site_fract_y
_atom_site_fract_z
_atom_site_occupancy
Er1 Er 0.0000 0.2481 0.0000 1
Er2 Er 0.3344 0.2488 0.6686 1
Ru1 Ru 0.5000 0.0000 0.0000 1
Rh1 Rh 0.1666 0.0000 0.3336 1
Rh2 Rh 0.1670 0.5000 0.3346 1
Rh3 Rh 0.5000 0.5000 0.0000 1
```

Summary:
The formation energy is -0.866 eV/atom. The total energy comes out at -6.984 eV per atom.

---

Record 4
VASP calculation (PBE-GGA) on crystalline Cr2BiPt2 at its relaxed geometry.

The structure in CIF format:
```
data_Cr2BiPt2
_chemical_formula_sum 'Cr4 Bi2 Pt4'
_cell_length_a 7.6849
_cell_length_b 7.6849
_cell_length_c 2.8875
_cell_angle_alpha 90.00
_cell_angle_beta 90.00
_cell_angle_gamma 90.00
_symmetry_space_group_name_H-M 'P 4/m b m'
_symmetry_Int_Tables_number 127
_symmetry_space_group_name_Hall '-P 4 2ab'
loop_
_atom_site_label
_atom_site_type_symbol
_atom_site_fract_x
_atom_site_fract_y
_atom_site_fract_z
_atom_site_occupancy
Cr1 Cr 0.0896 0.4104 0.0000 1
Bi1 Bi 0.0000 0.0000 0.0000 1
Pt1 Pt 0.1902 0.6902 0.5000 1
```

Summary:
The energy above the most stable polymorph in this dataset comes out at 0.72 eV per formula unit. The formation energy is 0.200 eV/atom. The total energy comes out at -6.842 eV per atom.